A plane-wave DFT calculation with PBE was carried out for Ag4PdCl7 after structural relaxation.

Calculated values
crystal system	monoclinic
magnetic moment	0.00	μB per atom
E	-34.464	eV/f.u.
DOS at the Fermi energy	4.0	states/eV per cell
density	4.4	g/cm³
energy relative to the elements, uncorrected	-0.412	eV/atom

Structure (POSCAR):
```
Ag4PdCl7
1.0
6.883 -2.663 0.000
6.883 2.663 0.000
-0.116 0.000 8.182
Ag Pd Cl
4 1 7
direct
0.045 0.045 0.183
0.278 0.278 0.178
0.722 0.722 0.822
0.955 0.955 0.817
0.500 0.500 0.500
0.000 0.000 0.500
0.160 0.160 0.939
0.331 0.331 0.465
0.476 0.476 0.784
0.524 0.524 0.216
0.669 0.669 0.535
0.840 0.840 0.061
```

A plane-wave DFT calculation with PBE was carried out for Ag2Pd2Cl7 after structural relaxation.

Calculated values
crystal system	monoclinic
magnetic moment	0.10	μB per atom
E	-32.363	eV/f.u.
DOS at the Fermi energy	8.8	states/eV per cell
density	3.5	g/cm³
energy above the most stable polymorph in this dataset	59.5	meV per atom
energy relative to the elements, uncorrected	-0.304	eV/atom

Structure (POSCAR):
```
Ag2Pd2Cl7
1.0
3.775 -5.240 0.000
3.775 5.240 0.000
-0.345 0.000 8.032
Ag Pd Cl
2 2 7
direct
0.238 0.762 0.000
0.762 0.238 0.000
0.201 0.201 0.396
0.799 0.799 0.604
0.091 0.426 0.186
0.105 0.105 0.679
0.426 0.091 0.186
0.500 0.500 0.500
0.574 0.909 0.814
0.895 0.895 0.321
0.909 0.574 0.814
```

A plane-wave DFT calculation with PBE was carried out for Ag2Pd2Cl7 after structural relaxation.

Calculated values
crystal system	monoclinic
magnetic moment	0.00	μB per atom
E	-33.017	eV/f.u.
DOS at the Fermi energy	19.1	states/eV per cell
density	3.8	g/cm³
energy above the most stable polymorph in this dataset	0.0	meV per atom
energy relative to the elements, uncorrected	-0.364	eV/atom

Structure (POSCAR):
```
Ag2Pd2Cl7
1.0
5.643 -6.908 0.000
5.643 6.908 0.000
-0.910 0.000 7.658
Ag Pd Cl
4 4 14
direct
0.051 0.683 0.646
0.317 0.949 0.854
0.683 0.051 0.146
0.949 0.317 0.354
0.246 0.400 0.745
0.400 0.246 0.245
0.600 0.754 0.755
0.754 0.600 0.255
0.016 0.691 0.326
0.162 0.286 0.145
0.200 0.615 0.906
0.286 0.162 0.645
0.309 0.984 0.174
0.385 0.800 0.594
0.489 0.511 0.250
0.511 0.489 0.750
0.615 0.200 0.406
0.691 0.016 0.826
0.714 0.838 0.355
0.800 0.385 0.094
0.838 0.714 0.855
0.984 0.309 0.674
```

A plane-wave DFT calculation with PBE was carried out for Ag2PdCl after structural relaxation.

Calculated values
crystal system	trigonal
magnetic moment	0.00	μB per atom
E	-11.855	eV/f.u.
DOS at the Fermi energy	1.9	states/eV per cell
density	7.8	g/cm³
energy above the most stable polymorph in this dataset	57.6	meV per atom
energy relative to the elements, uncorrected	0.222	eV/atom

Structure (POSCAR):
```
Ag2PdCl
1.0
1.501 0.867 9.732
-1.501 0.867 9.732
0.000 -1.733 9.732
Ag Pd Cl
2 1 1
direct
0.092 0.092 0.092
0.908 0.908 0.908
0.000 0.000 0.000
0.500 0.500 0.500
```

A plane-wave DFT calculation with PBE was carried out for Ag3PdCl8 after structural relaxation.

Calculated values
crystal system	monoclinic
magnetic moment	0.00	μB per atom
E	-33.035	eV/f.u.
DOS at the Fermi energy	11.8	states/eV per cell
density	3.5	g/cm³
energy relative to the elements, uncorrected	-0.376	eV/atom

Structure (POSCAR):
```
Ag3PdCl8
1.0
6.677 -3.967 0.000
6.677 3.967 0.000
-3.829 0.000 6.324
Ag Pd Cl
3 1 8
direct
0.000 0.000 0.000
0.000 0.500 0.500
0.500 0.000 0.500
0.500 0.500 0.000
0.219 0.219 0.263
0.290 0.708 0.225
0.292 0.710 0.775
0.294 0.294 0.807
0.706 0.706 0.193
0.708 0.290 0.225
0.710 0.292 0.775
0.781 0.781 0.737
```

A plane-wave DFT calculation with PBE was carried out for Ag2Pd2Cl5 after structural relaxation.

Calculated values
crystal system	monoclinic
magnetic moment	0.00	μB per atom
E	-28.101	eV/f.u.
DOS at the Fermi energy	2.8	states/eV per cell
density	4.5	g/cm³
energy relative to the elements, uncorrected	-0.309	eV/atom

Structure (POSCAR):
```
Ag2Pd2Cl5
1.0
8.919 -2.374 0.000
8.919 2.374 0.000
-1.292 0.000 5.231
Ag Pd Cl
2 2 5
direct
0.159 0.159 0.012
0.841 0.841 0.988
0.419 0.419 0.578
0.581 0.581 0.422
0.100 0.100 0.408
0.322 0.322 0.180
0.500 0.500 0.000
0.678 0.678 0.820
0.900 0.900 0.592
```